The following is a DFT calculation (SCAN) of a crystal of LiCrBiAs2 relaxed with PBEsol.

The calculated total energy is -135.6 eV for the cell shown. As for the crystal system: tetragonal. Its energy of formation from the pure elements is 79.52 kJ per mole of atoms.

Cell lengths 5.098, 5.524, 5.524 Å; angles 90.00, 90.00, 90.00 degrees
Each line ends with the local moment (μB).
Sites, in units of the cell vectors:
As: 0.000 0.500 0.000  -0.19
As: 0.000 0.000 0.500  -0.19
Cr: 0.500 0.000 0.000  4.01
Li: 0.500 0.500 0.500  0.00
Bi: 0.000 0.000 0.000  -0.07



The following is a DFT calculation (SCAN) of a crystal of SbBrO relaxed with PBEsol.

The calculated total energy is -794.0 eV for the cell shown. The formation energy without anion corrections comes out at -310.1 kJ/mol of formula units. As for the crystal system: monoclinic. The value obtained for the energy above the lowest structure with this stoichiometry is 0 meV/atom.

Cell lengths 8.212, 9.405, 11.316 Å; angles 90.00, 90.00, 104.40 degrees
Sites, in units of the cell vectors:
Br: 0.891 0.336 0.893
Br: 0.113 0.417 0.603
Br: 0.887 0.083 0.103
Br: 0.887 0.583 0.397
Br: 0.614 0.887 0.868
Br: 0.113 0.917 0.897
Br: 0.386 0.613 0.368
Br: 0.109 0.164 0.393
Br: 0.891 0.836 0.607
Br: 0.386 0.113 0.132
Br: 0.109 0.664 0.107
Br: 0.614 0.387 0.632
Sb: 0.912 0.387 0.239
Sb: 0.713 0.068 0.470
Sb: 0.287 0.432 0.970
Sb: 0.508 0.733 0.682
Sb: 0.287 0.932 0.530
Sb: 0.713 0.568 0.030
Sb: 0.088 0.613 0.761
Sb: 0.088 0.113 0.739
Sb: 0.492 0.267 0.318
Sb: 0.912 0.887 0.261
Sb: 0.492 0.767 0.182
Sb: 0.508 0.233 0.818
O: 0.293 0.081 0.657
O: 0.270 0.760 0.670
O: 0.526 0.412 0.926
O: 0.730 0.240 0.330
O: 0.526 0.912 0.574
O: 0.730 0.740 0.170
O: 0.707 0.419 0.157
O: 0.293 0.581 0.843
O: 0.270 0.260 0.830
O: 0.474 0.588 0.074
O: 0.707 0.919 0.343
O: 0.474 0.088 0.426



The following is a DFT calculation (SCAN) of a crystal of AlReHg2 relaxed with PBEsol.

The calculated total energy is -213.0 eV for the cell shown. As for the crystal system: orthorhombic. Its energy of formation from the pure elements is 53.05 kJ per mole of atoms.

Cell lengths 3.388, 4.389, 5.444 Å; angles 113.78, 108.13, 90.00 degrees
Sites, in units of the cell vectors:
Hg: 0.760 0.260 0.520
Hg: 0.987 0.987 0.974
Re: 0.524 0.524 0.048
Al: 0.229 0.729 0.458



The following is a DFT calculation (SCAN) of a crystal of NaTe2Au relaxed with PBEsol.

The calculated total energy is -148.5 eV for the cell shown. The formation energy without anion corrections comes out at -62.1 kJ/mol of formula units. As for the crystal system: trigonal. The value obtained for the energy above the lowest structure with this stoichiometry is 285 meV/atom.

Cell lengths 4.050, 4.050, 9.265 Å; angles 77.38, 77.38, 60.00 degrees
Sites, in units of the cell vectors:
Au: 0.500 0.500 0.500
Na: 0.000 0.000 0.000
Te: 0.110 0.110 0.670
Te: 0.890 0.890 0.330